{"formula": "Ta2PH", "functional": "PBE", "state": "optimized geometry", "relative_energy_mev_per_atom": 619, "magnetic_moment_mub_per_cell": 0.0, "lattice_angstrom": [[0.000, 2.984, 2.984], [2.984, 0.000, 2.984], [2.984, 2.984, 0.000]], "species": ["P", "H", "Ta", "Ta"], "frac_coords": [[0.500, 0.500, 0.500], [0.000, 0.000, 0.000], [0.250, 0.250, 0.250], [0.750, 0.750, 0.750]]}